Compound: Sr2DyPaN4
Source: the Alexandria database
Functional: PBE-GGA
Structure: optimized geometry

Results
symmetry = P2/m (10)

a = 3.625 Å, b = 6.168 Å, c = 6.358 Å
α = 108.69°, β = 90.00°, γ = 90.00°
Atoms (fractional coordinates):
Dy  0.500  0.500  0.000
Pa  0.000  0.000  0.000
Sr  0.000  0.500  0.500
N  0.500  0.776  0.796
N  0.500  0.224  0.204
Sr  0.500  0.000  0.500
N  0.000  0.246  0.796
N  0.000  0.754  0.204



Compound: DyPa2TaN6
Source: the Alexandria database
Functional: PBE-GGA
Structure: optimized geometry

Results
symmetry = R3 (146)

a = 5.794 Å, b = 5.794 Å, c = 5.970 Å
α = 60.97°, β = 60.97°, γ = 60.00°
Atoms (fractional coordinates):
N  0.958  0.595  0.239
Ta  0.309  0.309  0.073
N  0.595  0.208  0.239
Dy  0.798  0.798  0.605
N  0.145  0.403  0.753
N  0.698  0.145  0.753
N  0.208  0.958  0.239
Pa  0.523  0.523  0.430
Pa  0.023  0.023  0.932
N  0.403  0.698  0.753



Compound: Dy2PaTaN6
Source: the Alexandria database
Functional: PBE-GGA
Structure: optimized geometry

Results
symmetry = R3 (146)

a = 5.780 Å, b = 5.780 Å, c = 5.904 Å
α = 60.70°, β = 60.70°, γ = 60.00°
Atoms (fractional coordinates):
N  0.972  0.587  0.262
Pa  0.810  0.810  0.569
N  0.587  0.179  0.262
Dy  0.537  0.537  0.389
Dy  0.036  0.036  0.892
N  0.451  0.667  0.770
N  0.179  0.972  0.262
N  0.667  0.112  0.770
Ta  0.310  0.310  0.070
N  0.112  0.451  0.770



Compound: TbDy2PaN4
Source: the Alexandria database
Functional: PBE-GGA
Structure: optimized geometry

Results
symmetry = P2/m (10)

a = 3.500 Å, b = 6.020 Å, c = 6.015 Å
α = 109.22°, β = 90.00°, γ = 90.00°
Atoms (fractional coordinates):
N  0.500  0.760  0.758
N  0.500  0.240  0.242
Pa  0.000  0.000  0.000
N  0.000  0.239  0.758
Dy  0.500  0.000  0.500
Dy  0.000  0.500  0.500
N  0.000  0.761  0.242
Tb  0.500  0.500  0.000



Compound: Dy2PaTe2N2
Source: the Alexandria database
Functional: PBE-GGA
Structure: optimized geometry

Results
symmetry = I4/mmm (139)

a = 4.394 Å, b = 4.394 Å, c = 8.728 Å
α = 104.58°, β = 104.58°, γ = 90.00°
Atoms (fractional coordinates):
Pa  0.000  0.000  0.000
Te  0.187  0.187  0.373
Dy  0.396  0.396  0.792
Dy  0.604  0.604  0.208
N  0.500  0.000  0.000
Te  0.813  0.813  0.627
N  0.000  0.500  0.000



Compound: Dy2ThPaN4
Source: the Alexandria database
Functional: PBE-GGA
Structure: optimized geometry

Results
symmetry = P2/m (10)

a = 3.532 Å, b = 6.138 Å, c = 6.096 Å
α = 109.44°, β = 90.00°, γ = 90.00°
Atoms (fractional coordinates):
Pa  0.000  0.000  0.000
Th  0.500  0.500  0.000
N  0.500  0.765  0.757
N  0.000  0.235  0.753
N  0.500  0.235  0.243
Dy  0.500  0.000  0.500
Dy  0.000  0.500  0.500
N  0.000  0.765  0.247



Compound: DyPa2TiN6
Source: the Alexandria database
Functional: PBE-GGA
Structure: optimized geometry

Results
symmetry = R3 (146)

a = 5.749 Å, b = 5.749 Å, c = 5.924 Å
α = 60.97°, β = 60.97°, γ = 60.00°
Atoms (fractional coordinates):
N  0.211  0.952  0.239
Dy  0.798  0.798  0.606
N  0.597  0.211  0.239
Ti  0.310  0.310  0.069
Pa  0.022  0.022  0.934
N  0.697  0.145  0.756
N  0.952  0.597  0.239
N  0.402  0.697  0.756
N  0.145  0.402  0.756
Pa  0.526  0.526  0.421



Compound: DyTmPa2N4
Source: the Alexandria database
Functional: PBE-GGA
Structure: optimized geometry

Results
symmetry = P2/m (10)

a = 3.461 Å, b = 6.002 Å, c = 6.032 Å
α = 109.43°, β = 90.00°, γ = 90.00°
Atoms (fractional coordinates):
N  0.500  0.247  0.253
N  0.500  0.753  0.747
Pa  0.500  0.000  0.500
Tm  0.000  0.000  0.000
Pa  0.000  0.500  0.500
N  0.000  0.756  0.255
N  0.000  0.244  0.745
Dy  0.500  0.500  0.000



Compound: DyTm2PaN4
Source: the Alexandria database
Functional: PBE-GGA
Structure: optimized geometry

Results
symmetry = P2/m (10)

a = 3.456 Å, b = 5.953 Å, c = 5.945 Å
α = 109.17°, β = 90.00°, γ = 90.00°
Atoms (fractional coordinates):
Tm  0.500  0.000  0.500
N  0.000  0.239  0.753
N  0.500  0.245  0.250
Pa  0.000  0.000  0.000
N  0.000  0.761  0.247
N  0.500  0.755  0.750
Dy  0.500  0.500  0.000
Tm  0.000  0.500  0.500



Compound: DyUPa2N4
Source: the Alexandria database
Functional: PBE-GGA
Structure: optimized geometry

Results
symmetry = P2/m (10)

a = 3.473 Å, b = 6.006 Å, c = 6.021 Å
α = 109.34°, β = 90.00°, γ = 90.00°
Atoms (fractional coordinates):
Pa  0.000  0.500  0.500
U  0.000  0.000  0.000
N  0.000  0.756  0.249
N  0.500  0.754  0.756
N  0.000  0.244  0.751
Dy  0.500  0.500  0.000
Pa  0.500  0.000  0.500
N  0.500  0.246  0.244



Compound: Dy2UPaN6
Source: the Alexandria database
Functional: PBE-GGA
Structure: optimized geometry

Results
symmetry = R3 (146)

a = 5.907 Å, b = 5.907 Å, c = 5.996 Å
α = 60.49°, β = 60.49°, γ = 60.00°
Atoms (fractional coordinates):
N  0.599  0.183  0.264
N  0.954  0.599  0.264
Pa  0.811  0.811  0.566
N  0.440  0.675  0.772
N  0.112  0.440  0.772
Dy  0.035  0.035  0.894
Dy  0.537  0.537  0.389
N  0.675  0.112  0.772
U  0.314  0.314  0.057
N  0.183  0.954  0.264



Compound: DyPaVN3
Source: the Alexandria database
Functional: PBE-GGA
Structure: optimized geometry

Results
symmetry = P2_1/m (11)

a = 3.299 Å, b = 7.166 Å, c = 7.447 Å
α = 95.30°, β = 90.00°, γ = 90.00°
Atoms (fractional coordinates):
N  0.250  0.598  0.879
Pa  0.750  0.361  0.820
N  0.750  0.180  0.463
N  0.250  0.820  0.537
Pa  0.250  0.639  0.180
Dy  0.250  0.146  0.172
N  0.250  0.115  0.851
V  0.250  0.109  0.579
N  0.750  0.885  0.149
N  0.750  0.402  0.121
Dy  0.750  0.854  0.828
V  0.750  0.891  0.421



Number 1: DFT total energy -0.2835 Ha/atom. Number 2: DFT total energy -0.3685 Ha/atom. Number 3: DFT total energy -0.3379 Ha/atom. Number 4: DFT total energy -0.3226 Ha/atom. Number 5: DFT total energy -0.2657 Ha/atom. Number 6: DFT total energy -0.3331 Ha/atom. Number 7: DFT total energy -0.3493 Ha/atom. Number 8: DFT total energy -0.3435 Ha/atom. Number 9: DFT total energy -0.3229 Ha/atom. Number 10: DFT total energy -0.3704 Ha/atom. Number 11: DFT total energy -0.3446 Ha/atom. Number 12: DFT total energy -0.3410 Ha/atom.